Entry 1:
Crystalline Nd2Pa2O7 at its relaxed geometry, computed with PBE-GGA.

## Properties
space group: Cmmm (65)
energy: -0.337 Ha/atom
ΔE to the lowest computed polymorph: 70 meV/atom
raw formation energy: -3427 meV/atom

a b c (Å): 5.543 5.543 5.603
angles (deg): 90.00 90.00 93.23
Atoms (fractional coordinates):
Nd 0.240 0.240 0.000
Nd 0.760 0.760 0.000
Pa 0.233 0.767 0.500
Pa 0.767 0.233 0.500
O 0.000 0.000 0.263
O 0.000 0.000 0.737
O 0.000 0.500 0.263
O 0.000 0.500 0.737
O 0.500 0.000 0.263
O 0.500 0.000 0.737
O 0.500 0.500 0.500


Entry 2:
Crystalline NdPa2PbO8 at its relaxed geometry, computed with PBE-GGA.

## Properties
space group: I-4m2 (119)
energy: -0.318 Ha/atom
raw formation energy: -3046 meV/atom

a b c (Å): 6.711 6.711 6.711
angles (deg): 131.37 131.37 71.22
Atoms (fractional coordinates):
Nd 0.000 0.000 0.000
Pa 0.250 0.750 0.500
Pa 0.500 0.500 0.000
Pb 0.750 0.250 0.500
O 0.147 0.124 0.520
O 0.147 0.627 0.022
O 0.373 0.395 0.520
O 0.373 0.853 0.978
O 0.605 0.124 0.978
O 0.605 0.627 0.480
O 0.876 0.395 0.022
O 0.876 0.853 0.480


Entry 3:
Crystalline NdPaPb2O6 at its relaxed geometry, computed with PBE-GGA.

## Properties
space group: P2_1/c (14)
energy: -0.282 Ha/atom
raw formation energy: -2540 meV/atom

a b c (Å): 6.084 6.307 10.655
angles (deg): 90.00 124.59 90.00
Atoms (fractional coordinates):
Nd 0.000 0.000 0.000
Nd 0.000 0.500 0.500
Pa 0.500 0.000 0.500
Pa 0.500 0.500 0.000
Pb 0.240 0.030 0.748
Pb 0.240 0.470 0.248
Pb 0.760 0.530 0.752
Pb 0.760 0.970 0.252
O 0.148 0.181 0.448
O 0.148 0.319 0.948
O 0.266 0.706 0.443
O 0.266 0.794 0.943
O 0.372 0.033 0.261
O 0.372 0.467 0.761
O 0.628 0.533 0.239
O 0.628 0.967 0.739
O 0.734 0.206 0.057
O 0.734 0.294 0.557
O 0.852 0.681 0.052
O 0.852 0.819 0.552


Entry 4:
Crystalline NdPaPbO6 at its relaxed geometry, computed with PBE-GGA.

## Properties
space group: P312 (149)
energy: -0.288 Ha/atom
raw formation energy: -2525 meV/atom

a b c (Å): 5.759 5.759 4.876
angles (deg): 90.00 90.00 120.00
Atoms (fractional coordinates):
Nd 0.000 0.000 0.000
Pa 0.667 0.333 0.500
Pb 0.333 0.667 0.000
O 0.358 0.006 0.249
O 0.358 0.353 0.751
O 0.647 0.006 0.751
O 0.647 0.642 0.249
O 0.994 0.353 0.249
O 0.994 0.642 0.751